1.
The following is a PBE calculation of crystalline Sm2Si3Pd at its relaxed geometry, from Alexandria via LeMat-Bulk.

Cell and atoms, written as POSCAR:
```
Sm2Si3Pd
1.0
7.758 -0.007 -0.013
5.574 5.397 0.013
-6.607 -2.841 2.910
Sm Si Pd
2 3 1
Direct
0.130 0.130 0.000
0.370 0.870 0.500
0.541 0.541 0.000
0.794 0.294 0.500
0.704 0.704 0.000
0.960 0.460 0.500
```

Formation energy without anion corrections   -863 meV/atom
Total DFT energy (no corrections)   -6.0128 eV/atom
SG   Imm2, No. 44



2.
The following is a PBE calculation of crystalline Hg2NF at its relaxed geometry, from Alexandria via LeMat-Bulk.

Cell and atoms, written as POSCAR:
```
Hg2NF
1.0
7.507 0.065 -0.024
-3.637 7.859 1.929
-0.016 2.300 3.322
F Hg N
2 4 2
Direct
0.934 0.114 0.578
0.066 0.886 0.422
0.670 0.277 0.337
0.773 0.718 0.173
0.227 0.282 0.827
0.330 0.723 0.663
0.609 0.325 0.764
0.391 0.675 0.236
```

Formation energy without anion corrections   80 meV/atom
Total DFT energy (no corrections)   -2.6204 eV/atom
SG   P-1, No. 2
Energy above the most stable polymorph in this dataset   0.029 eV/atom



3.
The following is a PBE calculation of crystalline Cu3BrF4 at its relaxed geometry, from Alexandria via LeMat-Bulk.

Cell and atoms, written as POSCAR:
```
Cu3BrF4
1.0
-0.638 5.180 0.654
-5.435 -3.040 -2.380
-0.278 -0.959 7.323
F Br Cu
8 2 6
Direct
0.103 0.552 0.818
0.523 0.393 0.607
0.294 0.242 0.926
0.449 0.552 0.318
0.679 0.703 0.999
0.870 0.393 0.107
0.949 0.242 0.426
0.024 0.703 0.499
0.676 0.972 0.712
0.297 0.972 0.212
0.986 0.973 0.963
0.987 0.973 0.463
0.688 0.376 0.349
0.284 0.569 0.576
0.688 0.376 0.849
0.285 0.569 0.076
```

Formation energy without anion corrections   -1194 meV/atom
Total DFT energy (no corrections)   -3.8745 eV/atom
SG   C2/c, No. 15



What is the total DFT energy (no corrections) in the second record?
-2.6204 eV/atom